DFT (PBE-GGA) results for a geometry-optimized CaZrCd2 structure.

Unit cell a=7.3013 b=7.3013 c=7.3013 alpha=90.00 beta=90.00 gamma=90.00
Last column: nearest neighbours and their distance in Å.
Atoms (fractional coordinates):
1 Ca 0.0000 0.0000 0.0000  4 Cd 3.16, 4 Zr 3.16
2 Ca 0.0000 0.5000 0.5000  4 Cd 3.16, 4 Zr 3.16
3 Ca 0.5000 0.0000 0.5000  4 Cd 3.16, 4 Zr 3.16
4 Ca 0.5000 0.5000 0.0000  4 Cd 3.16, 4 Zr 3.16
5 Zr 0.2500 0.2500 0.2500  4 Ca 3.16, 4 Cd 3.16
6 Zr 0.2500 0.7500 0.7500  4 Cd 3.16, 4 Ca 3.16
7 Zr 0.7500 0.2500 0.7500  4 Cd 3.16, 4 Ca 3.16
8 Zr 0.7500 0.7500 0.2500  4 Cd 3.16, 4 Ca 3.16
9 Cd 0.0000 0.0000 0.5000  4 Zr 3.16, 4 Cd 3.16
10 Cd 0.0000 0.5000 0.0000  4 Zr 3.16, 4 Cd 3.16
11 Cd 0.2500 0.2500 0.7500  4 Cd 3.16, 4 Ca 3.16
12 Cd 0.2500 0.7500 0.2500  4 Cd 3.16, 4 Ca 3.16
13 Cd 0.5000 0.0000 0.0000  4 Zr 3.16, 4 Cd 3.16
14 Cd 0.5000 0.5000 0.5000  4 Zr 3.16, 4 Cd 3.16
15 Cd 0.7500 0.2500 0.2500  4 Cd 3.16, 4 Ca 3.16
16 Cd 0.7500 0.7500 0.7500  4 Cd 3.16, 4 Ca 3.16

Energy of formation   0.205 eV/atom
Crystal system   cubic
Total magnetic moment   7.0 μB per cell
VASP energy   -2.89 eV per atom
DOS(E_F)   22.4 states/eV/cell
Symmetry   F-43m, No. 216